A relaxed structure of SrLa2AlRu, computed with PBE.

Calculated density ... 5.22 g/cm³
Formation energy ... -200.0 meV per atom
Total magnetization ... 0.00 μB per formula unit
N(E_F) ... 3.70 states/eV per cell
Total energy ... -5.1110 eV/atom

abc: 5.520 5.520 5.152
angles: 90.00 90.00 90.00
Fractional coordinates of all 5 atoms:
Sr 0.000 0.000 0.000
La 0.000 0.500 0.500
La 0.500 0.000 0.500
Al 0.500 0.500 0.000
Ru 0.500 0.500 0.500